<P>
Density functional theory data (PBE) for a relaxed structure of TiCrRe.

Cell lengths 4.022, 5.188, 8.995 Å; angles 90.00, 90.00, 90.00 degrees
Positions (direct):
Re (0.250, 0.250, 0.301)
Ti (0.750, 0.000, 0.088)
Ti (0.750, 0.500, 0.514)
Cr (0.250, 0.000, 0.867)
Ti (0.250, 0.000, 0.588)
Re (0.750, 0.250, 0.801)
Re (0.250, 0.750, 0.301)
Ti (0.250, 0.500, 0.014)
Cr (0.750, 0.000, 0.367)
Cr (0.750, 0.500, 0.235)
Cr (0.250, 0.500, 0.735)
Re (0.750, 0.750, 0.801)

Total moment (μB/f.u.): 0.0
Space group: Cmcm (63)

---

<Q>
Density functional theory data (PBE) for a relaxed structure of TiCrRe.

Cell lengths 5.017, 5.017, 5.017 Å; angles 90.39, 118.10, 121.48 degrees
Positions (direct):
Re (0.500, 0.500, 0.500)
Ti (0.250, 0.125, 0.875)
Re (0.000, 0.500, 0.000)
Ti (0.750, 0.875, 0.125)
Cr (0.500, 0.000, 0.500)
Cr (0.000, 0.500, 0.500)

Total moment (μB/f.u.): 0.0
Space group: Imma (74)

---

<R>
Density functional theory data (PBE) for a relaxed structure of TiCrRe.

Cell lengths 2.718, 4.242, 4.242 Å; angles 120.00, 90.00, 90.00 degrees
Positions (direct):
Re (0.652, 0.333, 0.667)
Ti (0.003, 0.000, 0.000)
Cr (0.345, 0.667, 0.333)

Total moment (μB/f.u.): 0.0
Space group: P3m1 (156)

---

The most stable arrangement is <Q>, and the next structure is 31 meV per atom less stable.

---

<P>
Density functional theory data (PBE) for a relaxed structure of V2CrRe.

Cell lengths 6.651, 6.651, 5.357 Å; angles 51.63, 51.63, 90.00 degrees
Positions (direct):
Re (0.000, 0.000, 0.000)
Cr (0.500, 0.500, 0.000)
Re (0.750, 0.250, 0.500)
V (0.138, 0.625, 0.250)
Cr (0.250, 0.750, 0.500)
V (0.612, 0.125, 0.250)
V (0.375, 0.388, 0.750)
V (0.875, 0.862, 0.750)

Total moment (μB/f.u.): 0.0
Space group: I-42d (122)

---

<Q>
Density functional theory data (PBE) for a relaxed structure of V2CrRe.

Cell lengths 2.989, 4.221, 4.221 Å; angles 90.00, 90.00, 90.00 degrees
Positions (direct):
V (0.000, 0.500, 0.000)
Re (0.500, 0.000, 0.000)
V (0.000, 0.000, 0.500)
Cr (0.500, 0.500, 0.500)

Total moment (μB/f.u.): 0.0
Space group: P4/mmm (123)

---

<R>
Density functional theory data (PBE) for a relaxed structure of V2CrRe.

Cell lengths 4.218, 4.218, 4.218 Å; angles 60.00, 60.00, 60.00 degrees
Positions (direct):
V (0.750, 0.750, 0.750)
Re (0.500, 0.500, 0.500)
V (0.250, 0.250, 0.250)
Cr (0.000, 0.000, 0.000)

Total moment (μB/f.u.): 0.0
Space group: Fm-3m (225)

---

The most stable arrangement is <R>, and the next structure is 5 meV per atom less stable.

---

<P>
Density functional theory data (PBE) for a relaxed structure of V3CrRe.

Cell lengths 5.317, 5.317, 6.943 Å; angles 67.49, 67.49, 60.00 degrees
Positions (direct):
V (0.401, 0.401, 0.300)
Cr (0.333, 0.333, 0.002)
Cr (0.667, 0.667, 0.998)
V (0.599, 0.599, 0.700)
V (0.401, 0.898, 0.300)
Re (0.124, 0.124, 0.629)
V (0.599, 0.102, 0.700)
V (0.102, 0.599, 0.700)
V (0.898, 0.401, 0.300)
Re (0.876, 0.876, 0.371)

Total moment (μB/f.u.): 0.0
Space group: R-3m (166)

---

<Q>
Density functional theory data (PBE) for a relaxed structure of V3CrRe.

Cell lengths 4.221, 4.221, 4.221 Å; angles 90.00, 90.00, 90.00 degrees
Positions (direct):
V (0.000, 0.000, 0.500)
Cr (0.000, 0.000, 0.000)
V (0.500, 0.000, 0.000)
Re (0.500, 0.500, 0.500)
V (0.000, 0.500, 0.000)

Total moment (μB/f.u.): 0.0
Space group: Pm-3m (221)

---

The most stable arrangement is <P>, and the next structure is 517 meV per atom less stable.

---

<P>
Density functional theory data (PBE) for a relaxed structure of V8CrRe2.

Cell lengths 4.536, 6.458, 6.458 Å; angles 78.32, 72.69, 72.69 degrees
Positions (direct):
V (0.850, 0.662, 0.152)
V (0.150, 0.338, 0.848)
Re (0.438, 0.144, 0.144)
V (0.720, 0.569, 0.569)
Re (0.562, 0.856, 0.856)
V (0.280, 0.431, 0.431)
V (0.850, 0.152, 0.662)
V (0.131, 0.724, 0.724)
V (0.150, 0.848, 0.338)
V (0.869, 0.276, 0.276)
Cr (0.000, 0.000, 0.000)

Total moment (μB/f.u.): 0.0
Space group: C2/m (12)

---

<Q>
Density functional theory data (PBE) for a relaxed structure of V8CrRe2.

Cell lengths 4.260, 7.014, 6.859 Å; angles 125.37, 108.09, 90.00 degrees
Positions (direct):
V (0.797, 0.897, 0.594)
Cr (0.500, 0.000, 0.000)
V (0.444, 0.273, 0.888)
V (0.046, 0.235, 0.093)
Re (0.146, 0.680, 0.292)
V (0.686, 0.424, 0.371)
V (0.556, 0.727, 0.112)
V (0.954, 0.765, 0.907)
V (0.203, 0.103, 0.406)
V (0.314, 0.576, 0.629)
Re (0.854, 0.320, 0.708)

Total moment (μB/f.u.): 0.0
Space group: C2/m (12)

---

The most stable arrangement is <Q>, and the next structure is 434 meV per atom less stable.

---

<P>
Density functional theory data (PBE) for a relaxed structure of V4CrRe2.

Cell lengths 5.137, 5.137, 5.137 Å; angles 109.19, 109.61, 109.61 degrees
Positions (direct):
Re (0.500, 0.000, 0.500)
V (0.000, 0.500, 0.000)
Cr (0.000, 0.000, 0.000)
V (0.000, 0.000, 0.500)
V (0.500, 0.500, 0.500)
V (0.500, 0.000, 0.000)
Re (0.500, 0.500, 0.000)

Total moment (μB/f.u.): 0.0
Space group: I4/mmm (139)

---

<Q>
Density functional theory data (PBE) for a relaxed structure of V4CrRe2.

Cell lengths 4.221, 4.221, 6.912 Å; angles 72.22, 72.22, 90.00 degrees
Positions (direct):
Cr (0.000, 0.000, 0.000)
V (0.189, 0.189, 0.622)
Re (0.623, 0.623, 0.753)
V (0.811, 0.811, 0.378)
Re (0.377, 0.377, 0.247)
V (0.000, 0.500, 0.000)
V (0.500, 0.000, 0.000)

Total moment (μB/f.u.): 0.0
Space group: I4/mmm (139)

---

The most stable arrangement is <P>, and the next structure is 813 meV per atom less stable.

---

<P>
Density functional theory data (PBE) for a relaxed structure of V6CrRe2.

Cell lengths 4.153, 5.824, 7.001 Å; angles 114.58, 107.31, 90.00 degrees
Positions (direct):
V (0.500, 0.239, 0.000)
V (0.500, 0.761, 0.000)
Re (0.334, 0.334, 0.667)
Cr (0.000, 0.000, 0.000)
V (0.839, 0.595, 0.678)
V (0.839, 0.083, 0.678)
V (0.161, 0.405, 0.322)
V (0.161, 0.917, 0.322)
Re (0.666, 0.666, 0.333)

Total moment (μB/f.u.): 0.0
Space group: C2/m (12)

---

<Q>
Density functional theory data (PBE) for a relaxed structure of V6CrRe2.

Cell lengths 4.266, 4.266, 7.728 Å; angles 90.00, 90.00, 60.00 degrees
Positions (direct):
Re (0.667, 0.667, 0.058)
Re (0.333, 0.333, 0.942)
V (0.667, 0.667, 0.393)
V (0.333, 0.333, 0.281)
V (0.000, 0.000, 0.176)
V (0.333, 0.333, 0.607)
Cr (0.000, 0.000, 0.500)
V (0.000, 0.000, 0.824)
V (0.667, 0.667, 0.719)

Total moment (μB/f.u.): 0.0
Space group: P-3m1 (164)

---

The most stable arrangement is <Q>, and the next structure is 741 meV per atom less stable.

---

<P>
Density functional theory data (PBE) for a relaxed structure of V4Cr2Re3.

Cell lengths 5.015, 7.312, 7.312 Å; angles 82.23, 75.82, 75.82 degrees
Positions (direct):
V (0.057, 0.175, 0.024)
Re (0.003, 0.927, 0.310)
V (0.443, 0.976, 0.825)
V (0.344, 0.642, 0.765)
Re (0.997, 0.073, 0.690)
Re (0.497, 0.690, 0.073)
Cr (0.939, 0.464, 0.849)
Cr (0.439, 0.849, 0.464)
V (0.943, 0.825, 0.976)
Cr (0.561, 0.151, 0.536)
V (0.156, 0.235, 0.358)
V (0.844, 0.765, 0.642)
V (0.656, 0.358, 0.235)
Re (0.250, 0.552, 0.448)
Cr (0.061, 0.536, 0.151)
Re (0.750, 0.448, 0.552)
Re (0.503, 0.310, 0.927)
V (0.557, 0.024, 0.175)

Total moment (μB/f.u.): 0.0
Space group: C2/c (15)

---

<Q>
Density functional theory data (PBE) for a relaxed structure of V4Cr2Re3.

Cell lengths 4.255, 4.255, 7.769 Å; angles 90.00, 90.00, 60.00 degrees
Positions (direct):
Cr (0.333, 0.333, 0.778)
V (0.000, 0.000, 0.328)
Cr (0.667, 0.667, 0.222)
Re (0.000, 0.000, 0.000)
V (0.000, 0.000, 0.672)
V (0.667, 0.667, 0.891)
V (0.333, 0.333, 0.109)
Re (0.667, 0.667, 0.556)
Re (0.333, 0.333, 0.444)

Total moment (μB/f.u.): 0.0
Space group: P-3m1 (164)

---

The most stable arrangement is <Q>, and the next structure is 367 meV per atom less stable.

---

<P>
Density functional theory data (PBE) for a relaxed structure of VCr4Re.

Cell lengths 2.925, 4.849, 6.353 Å; angles 110.17, 103.29, 107.57 degrees
Positions (direct):
Cr (0.830, 0.998, 0.163)
Cr (0.166, 0.996, 0.840)
Cr (0.338, 0.508, 0.670)
Cr (0.658, 0.487, 0.334)
Re (0.498, 0.997, 0.502)
V (0.998, 0.497, 0.002)

Total moment (μB/f.u.): 0.0
Space group: C2/m (12)

---

<Q>
Density functional theory data (PBE) for a relaxed structure of VCr4Re.

Cell lengths 4.588, 4.529, 4.529 Å; angles 86.94, 90.00, 90.00 degrees
Positions (direct):
Cr (0.500, 0.662, 0.338)
Re (0.000, 0.500, 0.500)
V (0.500, 0.000, 0.000)
Cr (0.500, 0.338, 0.662)
Cr (0.000, 0.849, 0.849)
Cr (0.000, 0.151, 0.151)

Total moment (μB/f.u.): 0.0
Space group: Cmmm (65)

---

The most stable arrangement is <P>, and the next structure is 1429 meV per atom less stable.